Density functional theory data (meta-GGA SCAN) for a PBEsol-optimized structure of ScSbSI2. Values from VASP.

Results
crystal system = tetragonal
formation energy (no corrections) = 0.3718 eV per atom
electronic total energy = -26.55 eV per atom
symmetry = P4/mmm, No. 123

The structure in Quantum ESPRESSO input format:
```
&SYSTEM
  ibrav = 0, nat = 5, ntyp = 4
/
ATOMIC_SPECIES
Sc 44.96 Sc.upf
Sb 121.76 Sb.upf
S 32.06 S.upf
I 126.90 I.upf
CELL_PARAMETERS angstrom
5.1324 0.0000 0.0000
0.0000 5.1324 0.0000
0.0000 0.0000 5.6056
ATOMIC_POSITIONS angstrom
Sc 0.0000 0.0000 0.0000
Sb 2.5662 2.5662 0.0000
S 2.5662 2.5662 2.8028
I 0.0000 2.5662 2.8028
I 2.5662 0.0000 2.8028
```

***

Density functional theory data (meta-GGA SCAN) for a PBEsol-optimized structure of Sb4Se3SI4. Values from VASP.

Results
crystal system = monoclinic
formation energy (no corrections) = -0.2898 eV per atom
electronic total energy = -30.78 eV per atom
symmetry = Pm, No. 6

The structure in Quantum ESPRESSO input format:
```
&SYSTEM
  ibrav = 0, nat = 12, ntyp = 4
/
ATOMIC_SPECIES
Sb 121.76 Sb.upf
Se 78.96 Se.upf
S 32.06 S.upf
I 126.90 I.upf
CELL_PARAMETERS angstrom
8.5793 0.0000 0.0000
0.0000 4.0744 0.0000
-0.0332 0.0000 10.4247
ATOMIC_POSITIONS angstrom
Sb 0.0000 0.0000 0.0000
Sb 2.0213 2.0372 7.8027
Sb 4.2869 0.0000 2.5610
Sb 6.3363 2.0372 5.2974
Se 2.4833 0.0000 9.6379
Se 3.8415 2.0372 4.4109
Se 6.7699 0.0000 3.4431
S 8.2557 2.0372 8.7026
I 0.7843 0.0000 5.7778
I 1.1642 2.0372 2.0651
I 5.1346 0.0000 7.3402
I 5.5432 2.0372 0.5269
```

***

Density functional theory data (meta-GGA SCAN) for a PBEsol-optimized structure of SnSbSI2. Values from VASP.

Results
crystal system = tetragonal
formation energy (no corrections) = 0.7057 eV per atom
electronic total energy = -30.55 eV per atom
symmetry = P4/mmm, No. 123

The structure in Quantum ESPRESSO input format:
```
&SYSTEM
  ibrav = 0, nat = 5, ntyp = 4
/
ATOMIC_SPECIES
Sn 118.71 Sn.upf
Sb 121.76 Sb.upf
S 32.06 S.upf
I 126.90 I.upf
CELL_PARAMETERS angstrom
5.7034 0.0000 0.0000
0.0000 5.7034 0.0000
0.0000 0.0000 5.8735
ATOMIC_POSITIONS angstrom
Sn 0.0000 0.0000 0.0000
Sb 0.0000 0.0000 2.9368
S 2.8517 2.8517 2.9368
I 0.0000 2.8517 0.0000
I 2.8517 0.0000 0.0000
```

***

Density functional theory data (meta-GGA SCAN) for a PBEsol-optimized structure of TaSb2SI. Values from VASP.

Results
crystal system = tetragonal
formation energy (no corrections) = 0.6790 eV per atom
electronic total energy = -36.82 eV per atom
symmetry = P4/mmm, No. 123

The structure in Quantum ESPRESSO input format:
```
&SYSTEM
  ibrav = 0, nat = 5, ntyp = 4
/
ATOMIC_SPECIES
Ta 180.95 Ta.upf
Sb 121.76 Sb.upf
S 32.06 S.upf
I 126.90 I.upf
CELL_PARAMETERS angstrom
5.3204 0.0000 0.0000
0.0000 5.3204 0.0000
0.0000 0.0000 5.1604
ATOMIC_POSITIONS angstrom
Ta 0.0000 0.0000 0.0000
Sb 0.0000 2.6602 0.0000
Sb 2.6602 0.0000 0.0000
S 2.6602 2.6602 2.5802
I 0.0000 0.0000 2.5802
```

***

Density functional theory data (meta-GGA SCAN) for a PBEsol-optimized structure of TiSb2SI. Values from VASP.

Results
crystal system = tetragonal
formation energy (no corrections) = 0.7196 eV per atom
electronic total energy = -26.66 eV per atom
symmetry = P4/mmm, No. 123

The structure in Quantum ESPRESSO input format:
```
&SYSTEM
  ibrav = 0, nat = 5, ntyp = 4
/
ATOMIC_SPECIES
Ti 47.87 Ti.upf
Sb 121.76 Sb.upf
S 32.06 S.upf
I 126.90 I.upf
CELL_PARAMETERS angstrom
5.1278 0.0000 0.0000
0.0000 5.1278 0.0000
0.0000 0.0000 5.1262
ATOMIC_POSITIONS angstrom
Ti 0.0000 0.0000 0.0000
Sb 0.0000 2.5639 2.5631
Sb 2.5639 0.0000 2.5631
S 2.5639 2.5639 2.5631
I 2.5639 2.5639 0.0000
```

***

Density functional theory data (meta-GGA SCAN) for a PBEsol-optimized structure of TlSbSI2. Values from VASP.

Results
crystal system = tetragonal
formation energy (no corrections) = 0.7841 eV per atom
electronic total energy = -37.76 eV per atom
symmetry = P4/mmm, No. 123

The structure in Quantum ESPRESSO input format:
```
&SYSTEM
  ibrav = 0, nat = 5, ntyp = 4
/
ATOMIC_SPECIES
Tl 204.38 Tl.upf
Sb 121.76 Sb.upf
S 32.06 S.upf
I 126.90 I.upf
CELL_PARAMETERS angstrom
5.7939 0.0000 0.0000
0.0000 5.7939 0.0000
0.0000 0.0000 5.8615
ATOMIC_POSITIONS angstrom
Tl 0.0000 0.0000 0.0000
Sb 0.0000 0.0000 2.9308
S 2.8970 2.8970 2.9308
I 0.0000 2.8970 0.0000
I 2.8970 0.0000 0.0000
```

***

Density functional theory data (meta-GGA SCAN) for a PBEsol-optimized structure of YSb2SI. Values from VASP.

Results
crystal system = tetragonal
formation energy (no corrections) = 0.4512 eV per atom
electronic total energy = -29.30 eV per atom
symmetry = P4/mmm, No. 123

The structure in Quantum ESPRESSO input format:
```
&SYSTEM
  ibrav = 0, nat = 5, ntyp = 4
/
ATOMIC_SPECIES
Y 88.91 Y.upf
Sb 121.76 Sb.upf
S 32.06 S.upf
I 126.90 I.upf
CELL_PARAMETERS angstrom
5.7947 0.0000 0.0000
0.0000 5.7947 0.0000
0.0000 0.0000 5.5520
ATOMIC_POSITIONS angstrom
Y 0.0000 0.0000 0.0000
Sb 0.0000 2.8974 0.0000
Sb 2.8974 0.0000 0.0000
S 2.8974 2.8974 2.7760
I 0.0000 0.0000 2.7760
```

***

Density functional theory data (meta-GGA SCAN) for a PBEsol-optimized structure of ScSI3. Values from VASP.

Results
crystal system = cubic
formation energy (no corrections) = 0.2229 eV per atom
electronic total energy = -26.60 eV per atom
relative energy among the computed polymorphs = 570 meV per atom
symmetry = Pm-3m, No. 221

The structure in Quantum ESPRESSO input format:
```
&SYSTEM
  ibrav = 0, nat = 5, ntyp = 3
/
ATOMIC_SPECIES
Sc 44.96 Sc.upf
S 32.06 S.upf
I 126.90 I.upf
CELL_PARAMETERS angstrom
5.4377 0.0000 0.0000
0.0000 5.4377 0.0000
0.0000 0.0000 5.4377
ATOMIC_POSITIONS angstrom
Sc 0.0000 0.0000 0.0000
S 2.7189 2.7189 2.7189
I 0.0000 2.7189 2.7189
I 2.7189 0.0000 2.7189
I 2.7189 2.7189 0.0000
```

***

Density functional theory data (meta-GGA SCAN) for a PBEsol-optimized structure of ScSI3. Values from VASP.

Results
crystal system = cubic
formation energy (no corrections) = -0.3470 eV per atom
electronic total energy = -27.16 eV per atom
relative energy among the computed polymorphs = 0 meV per atom
symmetry = Pm-3m, No. 221

The structure in Quantum ESPRESSO input format:
```
&SYSTEM
  ibrav = 0, nat = 5, ntyp = 3
/
ATOMIC_SPECIES
Sc 44.96 Sc.upf
S 32.06 S.upf
I 126.90 I.upf
CELL_PARAMETERS angstrom
5.6028 0.0000 0.0000
0.0000 5.6028 0.0000
0.0000 0.0000 5.6028
ATOMIC_POSITIONS angstrom
Sc 0.0000 0.0000 0.0000
S 2.8014 2.8014 2.8014
I 0.0000 0.0000 2.8014
I 0.0000 2.8014 0.0000
I 2.8014 0.0000 0.0000
```

***

Density functional theory data (meta-GGA SCAN) for a PBEsol-optimized structure of ScWS2I. Values from VASP.

Results
crystal system = tetragonal
formation energy (no corrections) = 1.8382 eV per atom
electronic total energy = -26.15 eV per atom
symmetry = P4/mmm, No. 123

The structure in Quantum ESPRESSO input format:
```
&SYSTEM
  ibrav = 0, nat = 5, ntyp = 4
/
ATOMIC_SPECIES
Sc 44.96 Sc.upf
W 183.84 W.upf
S 32.06 S.upf
I 126.90 I.upf
CELL_PARAMETERS angstrom
5.0781 0.0000 0.0000
0.0000 5.0781 0.0000
0.0000 0.0000 5.2414
ATOMIC_POSITIONS angstrom
Sc 0.0000 0.0000 0.0000
W 2.5390 2.5390 0.0000
S 0.0000 2.5390 2.6207
S 2.5390 0.0000 2.6207
I 0.0000 0.0000 2.6207
```

***

Density functional theory data (meta-GGA SCAN) for a PBEsol-optimized structure of Te2SeSI. Values from VASP.

Results
crystal system = tetragonal
formation energy (no corrections) = 0.9017 eV per atom
electronic total energy = -27.29 eV per atom
symmetry = P4/mmm, No. 123

The structure in Quantum ESPRESSO input format:
```
&SYSTEM
  ibrav = 0, nat = 5, ntyp = 4
/
ATOMIC_SPECIES
Te 127.60 Te.upf
Se 78.96 Se.upf
S 32.06 S.upf
I 126.90 I.upf
CELL_PARAMETERS angstrom
5.4429 0.0000 0.0000
0.0000 5.4429 0.0000
0.0000 0.0000 5.3387
ATOMIC_POSITIONS angstrom
Te 0.0000 2.7215 0.0000
Te 2.7215 0.0000 0.0000
Se 0.0000 0.0000 0.0000
S 2.7215 2.7215 2.6693
I 0.0000 0.0000 2.6693
```

***

Density functional theory data (meta-GGA SCAN) for a PBEsol-optimized structure of ZnSeSI2. Values from VASP.

Results
crystal system = tetragonal
formation energy (no corrections) = 0.6157 eV per atom
electronic total energy = -22.73 eV per atom
symmetry = P4/mmm, No. 123

The structure in Quantum ESPRESSO input format:
```
&SYSTEM
  ibrav = 0, nat = 5, ntyp = 4
/
ATOMIC_SPECIES
Zn 65.41 Zn.upf
Se 78.96 Se.upf
S 32.06 S.upf
I 126.90 I.upf
CELL_PARAMETERS angstrom
5.6172 0.0000 0.0000
0.0000 5.6172 0.0000
0.0000 0.0000 4.9199
ATOMIC_POSITIONS angstrom
Zn 0.0000 0.0000 0.0000
Se 0.0000 0.0000 2.4600
S 2.8086 2.8086 0.0000
I 0.0000 2.8086 2.4600
I 2.8086 0.0000 2.4600
```

***

Density functional theory data (meta-GGA SCAN) for a PBEsol-optimized structure of SmSI. Values from VASP.

Results
crystal system = trigonal
formation energy (no corrections) = -2.0336 eV per atom
electronic total energy = -32.30 eV per atom
symmetry = R-3m, No. 166

The structure in Quantum ESPRESSO input format:
```
&SYSTEM
  ibrav = 0, nat = 6, ntyp = 3
/
ATOMIC_SPECIES
Sm 150.36 Sm.upf
S 32.06 S.upf
I 126.90 I.upf
CELL_PARAMETERS angstrom
2.2643 1.3073 10.9302
-2.2643 1.3073 10.9302
0.0000 -2.6146 10.9302
ATOMIC_POSITIONS angstrom
Sm 0.0000 0.0000 3.6994
Sm 0.0000 0.0000 29.0912
S 0.0000 0.0000 6.4875
S 0.0000 0.0000 26.3031
I 0.0000 0.0000 12.6593
I 0.0000 0.0000 20.1313
```

***

Density functional theory data (meta-GGA SCAN) for a PBEsol-optimized structure of Sn3SI. Values from VASP.

Results
crystal system = cubic
formation energy (no corrections) = 0.4053 eV per atom
electronic total energy = -30.42 eV per atom
symmetry = Pm-3m, No. 221

The structure in Quantum ESPRESSO input format:
```
&SYSTEM
  ibrav = 0, nat = 5, ntyp = 3
/
ATOMIC_SPECIES
Sn 118.71 Sn.upf
S 32.06 S.upf
I 126.90 I.upf
CELL_PARAMETERS angstrom
5.3862 0.0000 0.0000
0.0000 5.3862 0.0000
0.0000 0.0000 5.3862
ATOMIC_POSITIONS angstrom
Sn 0.0000 0.0000 2.6931
Sn 0.0000 2.6931 0.0000
Sn 2.6931 0.0000 0.0000
S 0.0000 0.0000 0.0000
I 2.6931 2.6931 2.6931
```

***

Density functional theory data (meta-GGA SCAN) for a PBEsol-optimized structure of Sn2S2I. Values from VASP.

Results
crystal system = tetragonal
formation energy (no corrections) = -0.2583 eV per atom
electronic total energy = -25.83 eV per atom
symmetry = I4/mmm, No. 139

The structure in Quantum ESPRESSO input format:
```
&SYSTEM
  ibrav = 0, nat = 5, ntyp = 3
/
ATOMIC_SPECIES
Sn 118.71 Sn.upf
S 32.06 S.upf
I 126.90 I.upf
CELL_PARAMETERS angstrom
-2.3572 2.3572 5.6877
2.3572 -2.3572 5.6877
2.3572 2.3572 -5.6877
ATOMIC_POSITIONS angstrom
Sn 0.0000 0.0000 1.5873
Sn 0.0000 0.0000 9.7880
S 2.3572 0.0000 2.8438
S 0.0000 2.3572 2.8438
I 0.0000 0.0000 5.6877
```

***

Density functional theory data (meta-GGA SCAN) for a PBEsol-optimized structure of Tl2SnSI. Values from VASP.

Results
crystal system = tetragonal
formation energy (no corrections) = 0.3837 eV per atom
electronic total energy = -45.02 eV per atom
symmetry = P4/mmm, No. 123

The structure in Quantum ESPRESSO input format:
```
&SYSTEM
  ibrav = 0, nat = 5, ntyp = 4
/
ATOMIC_SPECIES
Tl 204.38 Tl.upf
Sn 118.71 Sn.upf
S 32.06 S.upf
I 126.90 I.upf
CELL_PARAMETERS angstrom
5.7545 0.0000 0.0000
0.0000 5.7545 0.0000
0.0000 0.0000 5.6447
ATOMIC_POSITIONS angstrom
Tl 0.0000 2.8773 0.0000
Tl 2.8773 0.0000 0.0000
Sn 0.0000 0.0000 0.0000
S 2.8773 2.8773 2.8224
I 0.0000 0.0000 2.8224
```

***

Density functional theory data (meta-GGA SCAN) for a PBEsol-optimized structure of SrSI. Values from VASP.

Results
crystal system = tetragonal
formation energy (no corrections) = -1.5224 eV per atom
electronic total energy = -24.40 eV per atom
symmetry = P4/nmm, No. 129

The structure in Quantum ESPRESSO input format:
```
&SYSTEM
  ibrav = 0, nat = 6, ntyp = 3
/
ATOMIC_SPECIES
Sr 87.62 Sr.upf
S 32.06 S.upf
I 126.90 I.upf
CELL_PARAMETERS angstrom
5.6304 0.0000 0.0000
0.0000 5.6304 0.0000
0.0000 0.0000 5.9797
ATOMIC_POSITIONS angstrom
Sr 1.4076 4.2228 0.0000
Sr 4.2228 1.4076 0.0000
S 1.4076 1.4076 0.8711
S 4.2228 4.2228 5.1086
I 1.4076 1.4076 3.8061
I 4.2228 4.2228 2.1736
```

***

Density functional theory data (meta-GGA SCAN) for a PBEsol-optimized structure of TaS2I. Values from VASP.

Results
crystal system = trigonal
formation energy (no corrections) = -0.7169 eV per atom
electronic total energy = -31.36 eV per atom
symmetry = R-3m, No. 166

The structure in Quantum ESPRESSO input format:
```
&SYSTEM
  ibrav = 0, nat = 4, ntyp = 3
/
ATOMIC_SPECIES
Ta 180.95 Ta.upf
S 32.06 S.upf
I 126.90 I.upf
CELL_PARAMETERS angstrom
1.6635 0.9604 10.7728
-1.6635 0.9604 10.7728
0.0000 -1.9208 10.7728
ATOMIC_POSITIONS angstrom
Ta 0.0000 0.0000 0.0000
S 0.0000 0.0000 12.3055
S 0.0000 0.0000 20.0128
I 0.0000 0.0000 16.1592
```

***

Density functional theory data (meta-GGA SCAN) for a PBEsol-optimized structure of TcSI3. Values from VASP.

Results
crystal system = cubic
formation energy (no corrections) = 0.9950 eV per atom
electronic total energy = -29.99 eV per atom
symmetry = Pm-3m, No. 221

The structure in Quantum ESPRESSO input format:
```
&SYSTEM
  ibrav = 0, nat = 5, ntyp = 3
/
ATOMIC_SPECIES
Tc 98.00 Tc.upf
S 32.06 S.upf
I 126.90 I.upf
CELL_PARAMETERS angstrom
5.4053 0.0000 0.0000
0.0000 5.4053 0.0000
0.0000 0.0000 5.4053
ATOMIC_POSITIONS angstrom
Tc 0.0000 0.0000 0.0000
S 2.7027 2.7027 2.7027
I 0.0000 2.7027 2.7027
I 2.7027 0.0000 2.7027
I 2.7027 2.7027 0.0000
```

***

Density functional theory data (meta-GGA SCAN) for a PBEsol-optimized structure of TeS2I. Values from VASP.

Results
crystal system = trigonal
formation energy (no corrections) = 0.1995 eV per atom
electronic total energy = -23.11 eV per atom
symmetry = R-3m, No. 166

The structure in Quantum ESPRESSO input format:
```
&SYSTEM
  ibrav = 0, nat = 4, ntyp = 3
/
ATOMIC_SPECIES
Te 127.60 Te.upf
S 32.06 S.upf
I 126.90 I.upf
CELL_PARAMETERS angstrom
2.1551 1.2443 7.6386
-2.1551 1.2443 7.6386
0.0000 -2.4885 7.6386
ATOMIC_POSITIONS angstrom
Te 0.0000 0.0000 0.0000
S 0.0000 0.0000 8.8421
S 0.0000 0.0000 14.0736
I 0.0000 0.0000 11.4579
```